Density functional theory data (GGA-PBE) for a geometry-optimized Er2TmTh structure.

Values from the calculation:
E_form: 13 kJ/mol of formula units
energy above the lowest structure with this stoichiometry: 43 meV per atom

a b c (Å): 3.5344 3.5344 34.3253
angles (deg): 90.00 90.00 120.00
With the nearest neighbours (Å) after each atom.
Space group R3m (No. 160, hexagonal axes)
Asymmetric unit:
1 Er 0.0000 0.0000 0.0000 x3  3 Tm 3.49, 6 Er 3.53, 3 Th 3.57
2 Er 0.0000 0.0000 0.1689 x3  3 Tm 3.48, 3 Th 3.52, 6 Er 3.53
3 Tm 0.0000 0.0000 0.5842 x3  6 Er 3.48-3.49, 6 Tm 3.53
4 Th 0.0000 0.0000 0.4187 x3  6 Er 3.52-3.57, 6 Th 3.53